Record 1
DFT (PBE) results for Sc2FeCu after structural relaxation.

Unit cell a=3.141 b=3.141 c=6.594 alpha=90.00 beta=90.00 gamma=90.00
Space group P4/mmm (No. 123)
Unique sites:
Sc 0.000 0.000 0.229 x2
Fe 0.500 0.500 0.000 x1
Cu 0.500 0.500 0.500 x1

---

Record 2
DFT (PBE) results for Sc2FeCu after structural relaxation.

Unit cell a=3.1705 b=3.1705 c=24.1900 alpha=90.00 beta=90.00 gamma=120.00
Space group R-3m (No. 166, hexagonal axes)
Unique sites:
Sc 0.0000 0.0000 0.2435 x6
Fe 0.0000 0.0000 0.5000 x3
Cu 0.0000 0.0000 0.0000 x3

---

| no. | E_form (eV/atom) | relative energy among the computed polymorphs (meV/atom) |
| --- | --- | --- |
| 1 | -0.202 | 0 |
| 2 | 0.127 | 329 |